A geometry-optimized Mg2Ir structure, computed with PBE-GGA.

Output
The total moment is 0.0526 μB/atom. For the total energy, the calculation gives -0.2977 Ry per atom. The calculation puts the formation energy at -0.034 eV/atom. The space group is No. 58.

Cell: 2.924 6.686 6.684 Å, 90.00 90.00 90.00°
Each line ends with the local moment (μB).
Sites, in units of the cell vectors:
Mg (0.500, 0.231, 0.770)  0.00
Mg (0.000, 0.269, 0.270)  0.00
Mg (0.500, 0.769, 0.230)  0.00
Mg (0.000, 0.731, 0.730)  0.00
Ir (0.500, 0.500, 0.500)  0.15
Ir (0.000, 0.000, 0.000)  0.15

***

A geometry-optimized PrHoNiPd structure, computed with PBE-GGA.

Output
The total moment is 0.0000 μB/atom. For the total energy, the calculation gives -0.4170 Ry per atom. The calculation puts the formation energy at -0.591 eV/atom. The space group is No. 38.

Cell: 3.845 4.504 5.541 Å, 90.00 110.30 90.00°
Sites, in units of the cell vectors:
Pr (0.142, 0.000, 0.285)
Pd (0.575, 0.500, 0.150)
Ho (0.864, 0.500, 0.728)
Ni (0.418, 0.000, 0.837)

***

A geometry-optimized PrErTm3 structure, computed with PBE-GGA.

Output
The total moment is 0.0000 μB/atom. For the total energy, the calculation gives -0.3338 Ry per atom. The calculation puts the formation energy at 0.010 eV/atom. The space group is No. 11.

Cell: 9.542 5.618 6.247 Å, 90.00 109.02 90.00°
Sites, in units of the cell vectors:
Tm (0.598, 0.450, 0.635)
Tm (0.402, 0.950, 0.365)
Tm (0.001, 0.450, 0.837)
Tm (0.797, 0.450, 0.230)
Tm (0.999, 0.950, 0.163)
Tm (0.203, 0.950, 0.770)
Pr (0.800, 0.950, 0.568)
Pr (0.200, 0.450, 0.432)
Er (0.599, 0.950, 0.965)
Er (0.401, 0.450, 0.035)

***

A geometry-optimized La3Tb6Pm2Mg structure, computed with PBE-GGA.

Output
The total moment is 0.0000 μB/atom. For the total energy, the calculation gives -0.3268 Ry per atom. The calculation puts the formation energy at 0.025 eV/atom. The space group is No. 12.

Cell: 6.222 6.222 11.932 Å, 95.01 95.01 120.04°
Sites, in units of the cell vectors:
Pm (0.666, 0.334, 0.000)
Pm (0.334, 0.666, 0.000)
La (0.167, 0.833, 0.500)
La (0.833, 0.167, 0.500)
La (0.500, 0.500, 0.500)
Tb (0.081, 0.412, 0.245)
Tb (0.919, 0.588, 0.755)
Tb (0.588, 0.919, 0.755)
Tb (0.412, 0.081, 0.245)
Tb (0.250, 0.250, 0.754)
Tb (0.750, 0.750, 0.246)
Mg (0.000, 0.000, 0.000)

***

A geometry-optimized LiDyTe2O8 structure, computed with PBE-GGA.

Output
The total moment is 0.0000 μB/atom. For the total energy, the calculation gives -0.4335 Ry per atom. Its formation energy from raw total energies is -1.53 eV/atom. The space group is No. 119.

Cell: 6.150 6.150 6.150 Å, 106.94 106.94 114.66°
Sites, in units of the cell vectors:
Dy (0.250, 0.750, 0.500)
O (0.375, 0.064, 0.312)
O (0.325, 0.132, 0.806)
O (0.936, 0.625, 0.688)
O (0.936, 0.248, 0.312)
O (0.868, 0.675, 0.194)
O (0.752, 0.064, 0.688)
O (0.325, 0.519, 0.194)
O (0.481, 0.675, 0.806)
Te (0.750, 0.250, 0.500)
Te (0.500, 0.500, 0.000)
Li (0.000, 0.000, 0.000)

***

A geometry-optimized SrLiSb2 structure, computed with PBE-GGA.

Output
The total moment is 0.0000 μB/atom. For the total energy, the calculation gives -0.2600 Ry per atom. Its formation energy from raw total energies is -0.58 eV/atom. The space group is No. 10.

Cell: 4.503 3.496 7.771 Å, 64.22 90.00 90.00°
Sites, in units of the cell vectors:
Sb (0.000, 0.022, 0.973)
Sb (0.000, 0.478, 0.527)
Sr (0.500, 0.250, 0.250)
Li (0.500, 0.750, 0.750)

***

A geometry-optimized Sr2RuW structure, computed with PBE-GGA.

Output
The total moment is 0.0003 μB/atom. For the total energy, the calculation gives -0.3819 Ry per atom. The calculation puts the formation energy at 1.202 eV/atom. The space group is No. 12.

Cell: 5.865 6.417 3.091 Å, 61.29 89.96 114.86°
Sites, in units of the cell vectors:
Ru (0.500, 0.000, 0.500)
Sr (0.000, 0.500, 0.500)
Sr (0.000, 0.000, 0.000)
W (0.500, 0.500, 0.000)

***

A geometry-optimized Rb2LiHf2S6 structure, computed with PBE-GGA.

Output
The total moment is 0.0000 μB/atom. For the total energy, the calculation gives -0.4252 Ry per atom. Its formation energy from raw total energies is -1.37 eV/atom. The space group is No. 12.

Cell: 6.469 6.469 8.168 Å, 97.08 97.08 119.97°
Sites, in units of the cell vectors:
S (0.408, 0.058, 0.682)
S (0.942, 0.592, 0.318)
S (0.702, 0.702, 0.685)
S (0.592, 0.942, 0.318)
S (0.298, 0.298, 0.315)
S (0.058, 0.408, 0.682)
Hf (0.667, 0.333, 0.500)
Hf (0.333, 0.667, 0.500)
Li (0.000, 0.000, 0.500)
Rb (0.838, 0.162, 0.000)
Rb (0.162, 0.838, 0.000)

***

A geometry-optimized BaCa2Au structure, computed with PBE-GGA.

Output
The total moment is 0.0000 μB/atom. For the total energy, the calculation gives -0.1910 Ry per atom. The calculation puts the formation energy at -0.298 eV/atom. The space group is No. 122.

Cell: 9.790 9.790 7.709 Å, 50.58 50.58 90.00°
Sites, in units of the cell vectors:
Ba (0.250, 0.750, 0.500)
Ba (0.500, 0.500, 0.000)
Ca (0.875, 0.973, 0.750)
Ca (0.027, 0.625, 0.250)
Ca (0.723, 0.125, 0.250)
Ca (0.375, 0.277, 0.750)
Au (0.000, 0.000, 0.000)
Au (0.750, 0.250, 0.500)

***

A geometry-optimized Tm4GeBi2 structure, computed with PBE-GGA.

Output
The total moment is 0.0000 μB/atom. For the total energy, the calculation gives -0.3549 Ry per atom. The calculation puts the formation energy at -0.505 eV/atom. The space group is No. 11.

Cell: 6.617 6.541 9.621 Å, 90.00 107.66 90.00°
Sites, in units of the cell vectors:
Tm (0.513, 0.996, 0.756)
Tm (0.513, 0.504, 0.756)
Tm (0.064, 0.750, 0.855)
Tm (0.870, 0.250, 0.549)
Tm (0.487, 0.004, 0.244)
Tm (0.487, 0.496, 0.244)
Tm (0.936, 0.250, 0.145)
Tm (0.130, 0.750, 0.451)
Bi (0.294, 0.250, 0.463)
Bi (0.706, 0.750, 0.537)
Bi (0.687, 0.750, 0.046)
Bi (0.313, 0.250, 0.954)
Ge (0.865, 0.250, 0.839)
Ge (0.135, 0.750, 0.161)

***

A geometry-optimized LiTlCuRh structure, computed with PBE-GGA.

Output
The total moment is 0.0000 μB/atom. For the total energy, the calculation gives -0.2945 Ry per atom. The calculation puts the formation energy at -0.075 eV/atom. The space group is No. 216.

Cell: 4.469 4.469 4.469 Å, 60.00 60.00 60.00°
Sites, in units of the cell vectors:
Tl (0.750, 0.750, 0.750)
Cu (0.250, 0.250, 0.250)
Rh (0.000, 0.000, 0.000)
Li (0.500, 0.500, 0.500)

***

A geometry-optimized TiOs2RuO structure, computed with PBE-GGA.

Output
The total moment is 0.6198 μB/atom. For the total energy, the calculation gives -0.5792 Ry per atom. Its formation energy from raw total energies is 1.04 eV/atom. The space group is No. 123.

Cell: 4.778 3.546 4.778 Å, 90.00 90.00 90.00°
Each line ends with the local moment (μB).
Sites, in units of the cell vectors:
Ru (0.500, 0.500, 0.500)  1.57
O (0.000, 0.500, 0.000)  0.12
Ti (0.000, 0.000, 0.000)  -0.06
Os (0.500, 0.000, 0.000)  0.72
Os (0.000, 0.000, 0.500)  0.60

***

A geometry-optimized TlReCl2 structure, computed with PBE-GGA.

Output
The total moment is 0.1435 μB/atom. For the total energy, the calculation gives -0.3290 Ry per atom. Its formation energy from raw total energies is 0.15 eV/atom. The space group is No. 71.

Cell: 7.047 7.047 5.165 Å, 68.47 68.47 25.26°
Each line ends with the local moment (μB).
Sites, in units of the cell vectors:
Re (0.250, 0.250, 0.250)  0.45
Cl (0.901, 0.901, 0.099)  0.02
Cl (0.599, 0.599, 0.401)  0.02
Tl (0.750, 0.750, 0.750)  0.00

***

A geometry-optimized Ca4MgCu8 structure, computed with PBE-GGA.

Output
The total moment is 0.0000 μB/atom. For the total energy, the calculation gives -0.2379 Ry per atom. The calculation puts the formation energy at 0.023 eV/atom. The space group is No. 139.

Cell: 7.112 7.112 7.112 Å, 112.66 112.66 103.27°
Sites, in units of the cell vectors:
Cu (0.500, 0.280, 0.780)
Cu (0.652, 0.000, 0.652)
Cu (0.500, 0.720, 0.220)
Cu (0.000, 0.652, 0.652)
Cu (0.720, 0.500, 0.220)
Cu (0.000, 0.348, 0.348)
Cu (0.348, 0.000, 0.348)
Cu (0.280, 0.500, 0.780)
Ca (0.000, 0.000, 0.500)
Ca (0.500, 0.500, 0.500)
Ca (0.500, 0.000, 0.000)
Ca (0.000, 0.500, 0.000)
Mg (0.000, 0.000, 0.000)

***

A geometry-optimized CsNp4Se6 structure, computed with PBE-GGA.

Output
The total moment is 1.5450 μB/atom. For the total energy, the calculation gives -0.5551 Ry per atom. Its formation energy from raw total energies is -0.87 eV/atom. The space group is No. 121.

Cell: 7.625 7.625 7.625 Å, 93.56 117.97 117.97°
Each line ends with the local moment (μB).
Sites, in units of the cell vectors:
Se (0.500, 0.500, 0.000)  -0.12
Se (0.000, 0.860, 0.534)  -0.10
Se (0.500, 0.000, 0.500)  -0.12
Se (0.674, 0.140, 0.140)  -0.10
Se (0.326, 0.466, 0.466)  -0.10
Se (0.000, 0.534, 0.860)  -0.10
Np (0.645, 0.413, 0.413)  4.12
Np (0.000, 0.587, 0.232)  4.12
Np (0.355, 0.768, 0.768)  4.12
Np (0.000, 0.232, 0.587)  4.12
Cs (0.000, 0.000, 0.000)  0.01

***

A geometry-optimized Nb8Ga2Fe structure, computed with PBE-GGA.

Output
The total moment is 0.0000 μB/atom. For the total energy, the calculation gives -0.6329 Ry per atom. The calculation puts the formation energy at 0.032 eV/atom. The space group is No. 12.

Cell: 4.620 5.559 8.540 Å, 112.37 105.70 90.00°
Sites, in units of the cell vectors:
Nb (0.015, 0.765, 0.030)
Nb (0.412, 0.545, 0.824)
Nb (0.354, 0.005, 0.707)
Nb (0.646, 0.995, 0.293)
Nb (0.985, 0.235, 0.970)
Nb (0.775, 0.676, 0.551)
Nb (0.225, 0.324, 0.449)
Nb (0.588, 0.455, 0.176)
Ga (0.174, 0.735, 0.348)
Ga (0.826, 0.265, 0.652)
Fe (0.500, 0.000, 0.000)

***

A geometry-optimized Pr3S2Br2 structure, computed with PBE-GGA.

Output
The total moment is 0.0000 μB/atom. For the total energy, the calculation gives -0.4066 Ry per atom. Its formation energy from raw total energies is -1.83 eV/atom. The space group is No. 12.

Cell: 4.065 7.106 7.552 Å, 99.43 90.02 106.64°
Sites, in units of the cell vectors:
Br (0.873, 0.746, 0.617)
Br (0.127, 0.254, 0.383)
Pr (0.000, 0.000, 0.000)
Pr (0.755, 0.509, 0.209)
Pr (0.245, 0.491, 0.791)
S (0.383, 0.765, 0.128)
S (0.617, 0.235, 0.872)

***

A geometry-optimized MgPaInN structure, computed with PBE-GGA.

Output
The total moment is 0.0000 μB/atom. For the total energy, the calculation gives -0.4621 Ry per atom. Its formation energy from raw total energies is -0.75 eV/atom. The space group is No. 129.

Cell: 4.067 4.067 10.169 Å, 90.00 90.00 90.00°
Sites, in units of the cell vectors:
Mg (0.500, 0.500, 0.500)
Mg (0.000, 0.000, 0.500)
N (0.000, 0.000, 0.000)
N (0.500, 0.500, 0.000)
Pa (0.500, 0.000, 0.107)
Pa (0.000, 0.500, 0.893)
In (0.500, 0.000, 0.712)
In (0.000, 0.500, 0.288)

***

A geometry-optimized Zr2NbMo structure, computed with PBE-GGA.

Output
The total moment is 0.0000 μB/atom. For the total energy, the calculation gives -0.6921 Ry per atom. The calculation puts the formation energy at 0.082 eV/atom. The space group is No. 123.

Cell: 3.354 3.354 6.960 Å, 90.00 90.00 90.00°
Sites, in units of the cell vectors:
Zr (0.000, 0.000, 0.765)
Zr (0.000, 0.000, 0.235)
Nb (0.500, 0.500, 0.500)
Mo (0.500, 0.500, 0.000)

***

A geometry-optimized TbZrCoOs structure, computed with PBE-GGA.

Output
The total moment is 0.1224 μB/atom. For the total energy, the calculation gives -0.5972 Ry per atom. The calculation puts the formation energy at -0.246 eV/atom. The space group is No. 216.

Cell: 4.693 4.693 4.693 Å, 60.00 60.00 60.00°
Each line ends with the local moment (μB).
Sites, in units of the cell vectors:
Zr (0.500, 0.500, 0.500)  -0.14
Tb (0.000, 0.000, 0.000)  -0.14
Os (0.250, 0.250, 0.250)  0.06
Co (0.750, 0.750, 0.750)  0.85

***

A geometry-optimized FeWI2 structure, computed with PBE-GGA.

Output
The total moment is 0.6232 μB/atom. For the total energy, the calculation gives -0.3549 Ry per atom. Its formation energy from raw total energies is 1.30 eV/atom. The space group is No. 225.

Cell: 4.784 4.784 4.784 Å, 60.00 60.00 60.00°
Each line ends with the local moment (μB).
Sites, in units of the cell vectors:
W (0.500, 0.500, 0.500)  -0.20
Fe (0.000, 0.000, 0.000)  2.76
I (0.250, 0.250, 0.250)  0.03
I (0.750, 0.750, 0.750)  0.03

***

A geometry-optimized KPu2Tl3Se6 structure, computed with PBE-GGA.

Output
The total moment is 0.6709 μB/atom. For the total energy, the calculation gives -0.4237 Ry per atom. Its formation energy from raw total energies is -0.95 eV/atom. The space group is No. 12.

Cell: 4.262 9.161 10.110 Å, 104.18 102.17 90.00°
Each line ends with the local moment (μB).
Sites, in units of the cell vectors:
Pu (0.827, 0.664, 0.654)  4.78
Pu (0.173, 0.336, 0.346)  4.78
Se (0.677, 0.129, 0.354)  -0.14
Se (0.323, 0.871, 0.646)  -0.14
Se (0.678, 0.554, 0.356)  -0.17
Se (0.969, 0.724, 0.938)  -0.22
Se (0.031, 0.276, 0.062)  -0.22
Se (0.322, 0.446, 0.644)  -0.17
Tl (0.839, 0.168, 0.678)  -0.02
Tl (0.500, 0.500, 0.000)  -0.06
Tl (0.161, 0.832, 0.322)  -0.02
K (0.500, 0.000, 0.000)  -0.01

***

A geometry-optimized Pr2SmHo6Tm structure, computed with PBE-GGA.

Output
The total moment is 0.0000 μB/atom. For the total energy, the calculation gives -0.3311 Ry per atom. The calculation puts the formation energy at 0.117 eV/atom. The space group is No. 15.

Cell: 9.715 8.760 8.760 Å, 117.94 94.66 94.66°
Sites, in units of the cell vectors:
Ho (0.943, 0.877, 0.260)
Ho (0.812, 0.426, 0.980)
Ho (0.381, 0.507, 0.295)
Ho (0.312, 0.980, 0.426)
Ho (0.881, 0.295, 0.507)
Ho (0.557, 0.740, 0.123)
Ho (0.188, 0.574, 0.020)
Ho (0.619, 0.493, 0.705)
Ho (0.119, 0.705, 0.493)
Ho (0.057, 0.123, 0.740)
Ho (0.688, 0.020, 0.574)
Ho (0.443, 0.260, 0.877)
Tm (0.250, 0.407, 0.593)
Tm (0.750, 0.593, 0.407)
Pr (0.543, 0.195, 0.296)
Pr (0.043, 0.296, 0.195)
Pr (0.457, 0.805, 0.704)
Pr (0.957, 0.704, 0.805)
Sm (0.750, 0.017, 0.983)
Sm (0.250, 0.983, 0.017)

***

A geometry-optimized PIr2W2 structure, computed with PBE-GGA.

Output
The total moment is 0.0000 μB/atom. For the total energy, the calculation gives -0.6876 Ry per atom. The calculation puts the formation energy at 0.453 eV/atom. The space group is No. 139.

Cell: 3.563 3.563 7.101 Å, 75.47 75.47 90.00°
Sites, in units of the cell vectors:
Ir (0.750, 0.250, 0.500)
Ir (0.250, 0.750, 0.500)
W (0.396, 0.396, 0.207)
W (0.604, 0.604, 0.793)
P (0.000, 0.000, 0.000)